The following is a GGA-PBE calculation of Sc3AlSn3 after structural relaxation, from the Alexandria database.

Results
calculated formation energy: -2.38 eV per formula unit
crystal system: hexagonal

Structure (POSCAR):
```
Sc3AlSn3
1.0
5.429 0.000 0.000
0.000 8.239 0.000
0.000 -4.120 7.135
Sc Al Sn
6 2 6
Direct
0.250 0.360 0.456
0.750 0.903 0.360
0.750 0.456 0.097
0.750 0.640 0.544
0.250 0.097 0.640
0.250 0.544 0.903
0.250 0.667 0.333
0.750 0.333 0.667
0.250 0.266 0.059
0.750 0.734 0.941
0.750 0.059 0.793
0.250 0.941 0.207
0.750 0.207 0.266
0.250 0.793 0.734
```

***

The following is a GGA-PBE calculation of CsKMoN3 after structural relaxation, from the Alexandria database.

Results
crystal system: triclinic
formation energy (no corrections): -0.2414 eV per atom

Structure (POSCAR):
```
CsKMoN3
1.0
6.185 -0.672 -0.319
0.430 6.446 -0.064
-0.156 3.166 6.288
N K Cs Mo
6 2 2 2
Direct
0.514 0.092 0.025
0.990 0.790 0.989
0.764 0.205 0.603
0.236 0.795 0.397
0.486 0.908 0.975
0.010 0.210 0.011
0.743 0.413 0.155
0.257 0.587 0.845
0.249 0.248 0.500
0.751 0.752 0.500
0.795 0.058 0.883
0.205 0.942 0.117
```

***

Number 1: size of the total moment 0.00 μB per cell, DFT total energy -5.304 eV per atom. Number 2: size of the total moment 0.00 μB per cell, DFT total energy -6.534 eV per atom.